1.
The following is a PBE-GGA calculation of crystalline InHg5I2 at its relaxed geometry, from Alexandria.

extended XYZ file:
```
8
Lattice="6.660 0.000 0.000 -0.137 6.783 0.000 -0.468 -3.363 6.420" Properties=species:S:1:pos:R:3 pbc="T T T"
In 0.000 0.000 0.000
Hg -0.128 -0.070 3.045
Hg 1.177 2.652 2.814
Hg 2.606 -1.447 3.201
Hg 3.787 1.293 3.542
Hg 5.145 3.992 3.511
I 3.123 0.091 0.026
I 5.997 0.229 6.288
```

Output
Calculated volume in A^3/atom: 36.26
Electronic total energy in eV per atom: -1.07
Space-group type: P1
Density of states at the Fermi level in states/eV/cell: 1.607

***

2.
The following is a PBE-GGA calculation of crystalline InHg5I at its relaxed geometry, from Alexandria.

extended XYZ file:
```
7
Lattice="-3.271 3.402 5.338 3.271 -3.402 5.338 3.271 3.402 -5.338" Properties=species:S:1:pos:R:3 pbc="T T T"
In 0.000 0.000 0.000
Hg 3.271 -1.549 2.849
Hg 0.000 0.000 3.134
Hg 3.271 1.549 2.849
Hg 1.602 3.402 0.639
Hg 1.669 0.000 5.977
I 0.000 3.402 4.876
```

Output
Calculated volume in A^3/atom: 33.95
Electronic total energy in eV per atom: -0.91
Space-group type: Imm2
Density of states at the Fermi level in states/eV/cell: 0.333

***

3.
The following is a PBE-GGA calculation of crystalline InHg2I at its relaxed geometry, from Alexandria.

extended XYZ file:
```
4
Lattice="4.326 -2.511 0.000 4.326 2.511 0.000 -2.909 0.000 7.035" Properties=species:S:1:pos:R:3 pbc="T T T"
In 0.000 0.000 0.000
Hg -0.048 0.000 4.156
Hg 2.846 0.000 5.621
I 2.881 0.000 1.588
```

Output
Calculated volume in A^3/atom: 38.21
Excess energy over the best structure of this formula in the dataset in meV/atom: 27
Space-group type: Cm
Density of states at the Fermi level in states/eV/cell: 0.064

***

4.
The following is a PBE-GGA calculation of crystalline In2Hg3I4 at its relaxed geometry, from Alexandria.

extended XYZ file:
```
18
Lattice="5.798 0.000 0.000 2.884 10.240 0.000 2.881 0.111 12.787" Properties=species:S:1:pos:R:3 pbc="T T T"
In 2.886 5.148 4.264
In 5.769 9.026 11.119
In 5.794 1.325 1.667
In 8.677 5.203 8.523
Hg 5.774 9.747 8.086
Hg 2.892 5.136 0.037
Hg 5.775 9.702 4.936
Hg 5.788 0.649 7.850
Hg 8.671 5.215 12.750
Hg 5.789 0.604 4.701
I 2.880 8.589 1.402
I 2.880 3.022 6.379
I 2.894 2.033 2.041
I 5.778 5.061 9.216
I 5.784 5.290 3.570
I 8.669 8.318 10.745
I 8.683 7.329 6.408
I 8.683 1.762 11.384
```

Output
Calculated volume in A^3/atom: 42.18
Electronic total energy in eV per atom: -1.66
Space-group type: P-1
Density of states at the Fermi level in states/eV/cell: 7.615

***

5.
The following is a PBE-GGA calculation of crystalline InHg2I at its relaxed geometry, from Alexandria.

extended XYZ file:
```
4
Lattice="2.532 1.462 6.600 -2.532 1.462 6.600 0.000 -2.924 6.600" Properties=species:S:1:pos:R:3 pbc="T T T"
In 0.000 0.000 0.000
Hg 0.000 0.000 9.281
Hg 0.000 0.000 14.553
I 0.000 0.000 5.004
```

Output
Calculated volume in A^3/atom: 36.65
Excess energy over the best structure of this formula in the dataset in meV/atom: 30
Space-group type: R3m
Density of states at the Fermi level in states/eV/cell: 0.224

***

6.
The following is a PBE-GGA calculation of crystalline InHgI at its relaxed geometry, from Alexandria.

extended XYZ file:
```
6
Lattice="4.261 -2.472 0.000 4.261 2.472 0.000 -2.838 0.000 11.263" Properties=species:S:1:pos:R:3 pbc="T T T"
In -0.016 0.000 2.349
In 5.700 0.000 8.914
Hg 2.835 0.000 0.783
Hg 2.849 0.000 10.481
I 0.021 0.000 7.396
I 5.663 0.000 3.868
```

Output
Calculated volume in A^3/atom: 39.55
Excess energy over the best structure of this formula in the dataset in meV/atom: 13
Space-group type: C2/m

***

7.
The following is a PBE-GGA calculation of crystalline In4Hg3I4 at its relaxed geometry, from Alexandria.

extended XYZ file:
```
11
Lattice="6.784 0.000 0.000 1.888 6.628 0.000 2.087 2.478 9.139" Properties=species:S:1:pos:R:3 pbc="T T T"
In 1.621 0.726 1.815
In 3.673 2.759 4.242
In 7.087 6.346 4.896
In 9.139 8.379 7.323
Hg 0.944 3.314 0.000
Hg 3.919 4.151 1.319
Hg 6.841 4.954 7.820
I 3.699 5.907 4.949
I 3.660 2.345 7.520
I 7.100 6.760 1.619
I 7.061 3.198 4.190
```

Output
Calculated volume in A^3/atom: 37.35
Electronic total energy in eV per atom: -1.95
Space-group type: P-1

***

8.
The following is a PBE-GGA calculation of crystalline InHg2I at its relaxed geometry, from Alexandria.

extended XYZ file:
```
4
Lattice="2.682 1.548 6.694 -2.682 1.548 6.694 0.000 -3.097 6.694" Properties=species:S:1:pos:R:3 pbc="T T T"
In 0.000 0.000 0.000
Hg 0.000 0.000 7.024
Hg 0.000 0.000 13.059
I 0.000 0.000 10.042
```

Output
Calculated volume in A^3/atom: 41.70
Excess energy over the best structure of this formula in the dataset in meV/atom: 189
Space-group type: R-3m
Density of states at the Fermi level in states/eV/cell: 1.643

***

9.
The following is a PBE-GGA calculation of crystalline In4HgI6 at its relaxed geometry, from Alexandria.

extended XYZ file:
```
22
Lattice="9.338 0.000 0.000 0.000 9.338 0.000 0.000 0.000 9.566" Properties=species:S:1:pos:R:3 pbc="T T T"
In 1.380 3.289 2.391
In 1.380 3.289 7.174
In 3.289 7.958 2.391
In 3.289 7.958 7.174
In 6.049 1.380 2.391
In 6.049 1.380 7.174
In 7.958 6.049 2.391
In 7.958 6.049 7.174
Hg 0.000 0.000 0.000
Hg 4.669 4.669 4.783
I 0.000 0.000 2.793
I 0.000 0.000 6.773
I 1.374 6.349 0.000
I 1.680 6.043 4.783
I 2.989 1.374 0.000
I 3.295 1.680 4.783
I 4.669 4.669 1.990
I 4.669 4.669 7.576
I 6.043 7.658 4.783
I 6.349 7.964 0.000
I 7.658 3.295 4.783
I 7.964 2.989 0.000
```

Output
Calculated volume in A^3/atom: 37.91
Electronic total energy in eV per atom: -2.26
Space-group type: P4/mnc

***

10.
The following is a PBE-GGA calculation of crystalline In2Hg6I at its relaxed geometry, from Alexandria.

extended XYZ file:
```
9
Lattice="4.743 0.000 0.000 0.000 4.743 0.000 0.000 0.000 12.169" Properties=species:S:1:pos:R:3 pbc="T T T"
In 0.000 0.000 1.540
In 0.000 0.000 10.629
Hg 0.000 0.000 6.085
Hg 0.000 2.372 3.647
Hg 0.000 2.372 8.522
Hg 2.372 0.000 3.647
Hg 2.372 0.000 8.522
Hg 2.372 2.372 6.085
I 2.372 2.372 0.000
```

Output
Calculated volume in A^3/atom: 30.42
Electronic total energy in eV per atom: -1.05
Space-group type: P4/mmm
Density of states at the Fermi level in states/eV/cell: 1.161